Entry 1:
The following is a DFT calculation (PBE-GGA) of an optimized crystal structure of Tl2P2Pt.

Cell and atoms, written as CIF:
```
data_Tl2P2Pt
_chemical_formula_sum 'Tl4 P4 Pt2'
_cell_length_a 7.584
_cell_length_b 7.584
_cell_length_c 6.369
_cell_angle_alpha 90.00
_cell_angle_beta 90.00
_cell_angle_gamma 134.67
_symmetry_space_group_name_H-M 'P 1'
_symmetry_Int_Tables_number 1
_symmetry_space_group_name_Hall 'P 1'
loop_
_atom_site_label
_atom_site_fract_x
_atom_site_fract_y
_atom_site_fract_z
_atom_site_occupancy
Tl1 0.077 0.923 0.750 1
Tl2 0.292 0.708 0.250 1
Tl3 0.708 0.292 0.750 1
Tl4 0.923 0.077 0.250 1
P1 0.208 0.419 0.750 1
P2 0.419 0.208 0.250 1
P3 0.581 0.792 0.750 1
P4 0.792 0.581 0.250 1
Pt1 0.500 0.500 0.000 1
Pt2 0.500 0.500 0.500 1
```

Properties
For the spin magnetization, the calculation gives 0.004 μB/cell. Its final energy is -0.323 Ry/atom.



Entry 2:
The following is a DFT calculation (PBE-GGA) of an optimized crystal structure of Rb2Na2IrO4.

Cell and atoms, written as CIF:
```
data_Rb2Na2IrO4
_chemical_formula_sum 'Rb8 Na8 Ir4 O16'
_cell_length_a 6.185
_cell_length_b 11.067
_cell_length_c 9.662
_cell_angle_alpha 90.00
_cell_angle_beta 114.84
_cell_angle_gamma 90.00
_symmetry_space_group_name_H-M 'P 1'
_symmetry_Int_Tables_number 1
_symmetry_space_group_name_Hall 'P 1'
loop_
_atom_site_label
_atom_site_fract_x
_atom_site_fract_y
_atom_site_fract_z
_atom_site_occupancy
Rb1 0.157 0.131 0.277 1
Rb2 0.157 0.369 0.777 1
Rb3 0.181 0.634 0.006 1
Rb4 0.181 0.866 0.506 1
Rb5 0.819 0.134 0.494 1
Rb6 0.819 0.366 0.994 1
Rb7 0.843 0.631 0.223 1
Rb8 0.843 0.869 0.723 1
Na1 0.066 0.109 0.910 1
Na2 0.066 0.391 0.410 1
Na3 0.436 0.612 0.408 1
Na4 0.436 0.888 0.908 1
Na5 0.564 0.112 0.092 1
Na6 0.564 0.388 0.592 1
Na7 0.934 0.609 0.590 1
Na8 0.934 0.891 0.090 1
Ir1 0.490 0.132 0.736 1
Ir2 0.490 0.368 0.236 1
Ir3 0.510 0.632 0.764 1
Ir4 0.510 0.868 0.264 1
O1 0.224 0.043 0.739 1
O2 0.224 0.457 0.239 1
O3 0.243 0.724 0.761 1
O4 0.243 0.776 0.261 1
O5 0.281 0.230 0.567 1
O6 0.281 0.270 0.067 1
O7 0.292 0.541 0.589 1
O8 0.292 0.959 0.089 1
O9 0.708 0.041 0.911 1
O10 0.708 0.459 0.411 1
O11 0.719 0.730 0.933 1
O12 0.719 0.770 0.433 1
O13 0.757 0.224 0.739 1
O14 0.757 0.276 0.239 1
O15 0.776 0.543 0.761 1
O16 0.776 0.957 0.261 1
```

Properties
For the spin magnetization, the calculation gives 11.996 μB/cell. Its final energy is -0.361 Ry/atom.